{
  "formula": "PaTcPd",
  "functional": "PBE",
  "state": "relaxed",
  "e_form_kcal_per_mol_atoms": 6.19,
  "relative_energy_ev_per_fu": 0.33,
  "cell": [[6.356, 0.000, 0.000], [0.000, 6.356, 0.000], [0.000, 0.000, 6.356]],
  "species": ["Pa", "Pa", "Pa", "Pa", "Tc", "Tc", "Tc", "Tc", "Pd", "Pd", "Pd", "Pd"],
  "frac_coords": [[0.000, 0.000, 0.000], [0.000, 0.500, 0.500], [0.500, 0.000, 0.500], [0.500, 0.500, 0.000], [0.000, 0.000, 0.500], [0.000, 0.500, 0.000], [0.500, 0.000, 0.000], [0.500, 0.500, 0.500], [0.250, 0.250, 0.250], [0.250, 0.750, 0.750], [0.750, 0.250, 0.750], [0.750, 0.750, 0.250]]
}

---

{
  "formula": "ErAuSeO",
  "functional": "PBE",
  "state": "relaxed",
  "relative_energy_ev_per_fu": 0.39,
  "cell": [[3.913, 0.000, 0.000], [0.000, 3.913, 0.000], [0.000, 0.000, 9.488]],
  "species": ["Er", "Er", "Au", "Au", "Se", "Se", "O", "O"],
  "frac_coords": [[0.250, 0.250, 0.115], [0.750, 0.750, 0.885], [0.250, 0.750, 0.500], [0.750, 0.250, 0.500], [0.250, 0.250, 0.720], [0.750, 0.750, 0.280], [0.250, 0.750, 0.000], [0.750, 0.250, 0.000]]
}

---

{
  "formula": "KPrScSe3",
  "functional": "PBE",
  "state": "relaxed",
  "relative_energy_ev_per_fu": 0.00,
  "cell": [[10.921, 0.000, 0.000], [0.000, 4.766, 0.000], [0.000, 0.000, 13.151]],
  "species": ["K", "K", "K", "K", "Pr", "Pr", "Pr", "Pr", "Sc", "Sc", "Sc", "Sc", "Se", "Se", "Se", "Se", "Se", "Se", "Se", "Se", "Se", "Se", "Se", "Se"],
  "frac_coords": [[0.157, 0.250, 0.021], [0.343, 0.750, 0.521], [0.657, 0.250, 0.479], [0.843, 0.750, 0.979], [0.024, 0.250, 0.343], [0.476, 0.750, 0.843], [0.524, 0.250, 0.157], [0.976, 0.750, 0.657], [0.212, 0.250, 0.738], [0.288, 0.750, 0.238], [0.712, 0.250, 0.762], [0.788, 0.750, 0.262], [0.051, 0.750, 0.193], [0.119, 0.250, 0.559], [0.198, 0.750, 0.816], [0.302, 0.250, 0.316], [0.381, 0.750, 0.059], [0.449, 0.250, 0.693], [0.551, 0.750, 0.307], [0.619, 0.250, 0.941], [0.698, 0.750, 0.684], [0.802, 0.250, 0.184], [0.881, 0.750, 0.441], [0.949, 0.250, 0.807]]
}

---

{
  "formula": "InFeTcIr",
  "functional": "PBE",
  "state": "relaxed",
  "relative_energy_ev_per_fu": 0.00,
  "cell": [[6.272, 0.000, 0.000], [0.000, 6.272, 0.000], [0.000, 0.000, 6.272]],
  "species": ["In", "In", "In", "In", "Fe", "Fe", "Fe", "Fe", "Tc", "Tc", "Tc", "Tc", "Ir", "Ir", "Ir", "Ir"],
  "frac_coords": [[0.000, 0.000, 0.000], [0.000, 0.500, 0.500], [0.500, 0.000, 0.500], [0.500, 0.500, 0.000], [0.250, 0.250, 0.250], [0.250, 0.750, 0.750], [0.750, 0.250, 0.750], [0.750, 0.750, 0.250], [0.000, 0.000, 0.500], [0.000, 0.500, 0.000], [0.500, 0.000, 0.000], [0.500, 0.500, 0.500], [0.250, 0.250, 0.750], [0.250, 0.750, 0.250], [0.750, 0.250, 0.250], [0.750, 0.750, 0.750]]
}

---

{
  "formula": "LaNd3C2Br2",
  "functional": "PBE",
  "state": "relaxed",
  "e_tot_ev_per_cell": -48.16,
  "cell": [[3.828, 0.000, 0.000], [-1.914, 3.315, 0.000], [0.000, 0.000, 15.032]],
  "species": ["La", "Nd", "Nd", "Nd", "C", "C", "Br", "Br"],
  "frac_coords": [[0.000, 0.000, 0.000], [0.000, 0.000, 0.318], [0.667, 0.333, 0.500], [0.667, 0.333, 0.814], [0.333, 0.667, 0.409], [0.333, 0.667, 0.904], [0.000, 0.000, 0.657], [0.667, 0.333, 0.164]]
}

---

{
  "formula": "CsCuTe2MoSe",
  "functional": "PBE",
  "state": "relaxed",
  "e_tot_ev_per_cell": -54.38,
  "cell": [[2.032, -8.559, 0.000], [2.032, 8.559, 0.000], [0.000, 0.000, 10.260]],
  "species": ["Cs", "Cs", "Cu", "Cu", "Te", "Te", "Te", "Te", "Mo", "Mo", "Se", "Se"],
  "frac_coords": [[0.242, 0.758, 0.750], [0.758, 0.242, 0.250], [0.024, 0.976, 0.250], [0.976, 0.024, 0.750], [0.110, 0.890, 0.046], [0.110, 0.890, 0.454], [0.890, 0.110, 0.546], [0.890, 0.110, 0.954], [0.500, 0.500, 0.000], [0.500, 0.500, 0.500], [0.444, 0.556, 0.250], [0.556, 0.444, 0.750]]
}

---

{
  "formula": "BaZr3",
  "functional": "PBE",
  "state": "relaxed",
  "relative_energy_ev_per_fu": 0.00,
  "cell": [[5.222, 0.000, 0.000], [0.000, 6.528, 0.000], [0.000, 0.000, 7.125]],
  "species": ["Ba", "Ba", "Zr", "Zr", "Zr", "Zr", "Zr", "Zr"],
  "frac_coords": [[0.250, 0.250, 0.100], [0.750, 0.750, 0.900], [0.250, 0.009, 0.592], [0.250, 0.491, 0.592], [0.250, 0.750, 0.250], [0.750, 0.250, 0.750], [0.750, 0.509, 0.408], [0.750, 0.991, 0.408]]
}

---

{
  "formula": "GdHoAl3Si2",
  "functional": "PBE",
  "state": "relaxed",
  "e_tot_ev_per_cell": -70.30,
  "cell": [[10.202, 0.000, 0.000], [0.000, 4.057, 0.000], [-1.282, 0.000, 6.500]],
  "species": ["Gd", "Gd", "Ho", "Ho", "Al", "Al", "Al", "Al", "Al", "Al", "Si", "Si", "Si", "Si"],
  "frac_coords": [[0.000, 0.000, 0.000], [0.500, 0.500, 0.000], [0.261, 0.500, 0.355], [0.761, 0.000, 0.355], [0.075, 0.000, 0.543], [0.186, 0.500, 0.810], [0.379, 0.000, 0.676], [0.575, 0.500, 0.543], [0.686, 0.000, 0.810], [0.879, 0.500, 0.676], [0.288, 0.000, 0.038], [0.473, 0.000, 0.319], [0.788, 0.500, 0.038], [0.973, 0.500, 0.319]]
}